DFT (GGA-PBE) results for a geometry-optimized ReSiC3 structure.

Cell: 4.0385 4.0385 4.0385 Å, 90.00 90.00 90.00°
Closest atoms and distances in Å follow each position.
Atoms (fractional coordinates):
1 Re 0.0000 0.0000 0.0000  6 C 2.02
2 Si 0.5000 0.5000 0.5000  12 C 2.86
3 C 0.0000 0.0000 0.5000  2 Re 2.02
4 C 0.0000 0.5000 0.0000  2 Re 2.02
5 C 0.5000 0.0000 0.0000  2 Re 2.02

- magnetization (μB per atom) = 0.00
- N(E_F) (states/eV/cell) = 3.10
- ΔE to the lowest computed polymorph (eV per atom) = 0.0000